[1]
## SrTaCr2 (PBE-GGA)

Data for SrTaCr2 after structural relaxation.

The excess energy over the best structure of this formula in the dataset is 0.497 eV per atom. The density of states at the Fermi level is 7.27 states/eV/cell.

The space group is Immm (No. 71) and the conventional cell measures 3.278, 5.698 and 9.432 Å, with angles of 90.00, 90.00 and 90.00 degrees. The distinct sites, in fractional coordinates, are Sr at (0.000, 0.000, 0.000), Ta at (0.000, 0.000, 0.500) and Cr at (0.000, 0.500, 0.211).

***

[2]
## Y2TeOs2 (PBE-GGA)

Data for Y2TeOs2 after structural relaxation.

The excess energy over the best structure of this formula in the dataset is 0.000 eV per atom. The density of states at the Fermi level is 13.53 states/eV/cell. The calculation puts the uncorrected formation energy at -6.5 kcal/mol of atoms.

The space group is I4/mmm (No. 139) and the conventional cell measures 3.705, 3.705 and 17.030 Å, with angles of 90.00, 90.00 and 90.00 degrees. The distinct sites, in fractional coordinates, are Y at (0.000, 0.000, 0.114), Te at (0.000, 0.000, 0.500) and Os at (0.000, 0.500, 0.250).

***

[3]
## ZrTlRe2 (PBE-GGA)

Data for ZrTlRe2 after structural relaxation.

The excess energy over the best structure of this formula in the dataset is 0.330 eV per atom. The density of states at the Fermi level is 3.30 states/eV/cell.

The space group is P4/mmm (No. 123) and the conventional cell measures 4.177, 4.177 and 4.115 Å, with angles of 90.00, 90.00 and 90.00 degrees. The distinct sites, in fractional coordinates, are Zr at (0.000, 0.000, 0.000), Tl at (0.500, 0.500, 0.000) and Re at (0.000, 0.500, 0.500).